[1]
Computed, not measured: an optimized crystal structure of KLaMo at the PBE level of DFT.

Lattice parameters (Å, degrees): 9.2398 8.9925 3.3485 83.61 75.28 21.11
Fractional positions:
Mo: 0.6842 0.6842 0.3158
K: 0.0198 0.0198 0.9802
La: 0.2959 0.2959 0.7041

Properties
For the formation energy from the elements, the calculation gives 2.7 eV per formula unit. Its theoretical density is 5.03 g cm⁻³.



[2]
Computed, not measured: an optimized crystal structure of LaPr4Ru2 at the PBE level of DFT.

Lattice parameters (Å, degrees): 6.9238 9.2207 7.3064 112.85 90.00 90.00
Fractional positions:
Pr: 0.9988 0.4347 0.7166
Pr: 0.7500 0.9916 0.3304
Pr: 0.2500 0.2076 0.2395
Pr: 0.5012 0.4347 0.7166
Pr: 0.0012 0.5653 0.2834
Pr: 0.2500 0.0084 0.6696
Pr: 0.7500 0.7924 0.7605
Pr: 0.4988 0.5653 0.2834
Ru: 0.7500 0.6643 0.0342
Ru: 0.7500 0.3165 0.3538
Ru: 0.2500 0.6835 0.6462
Ru: 0.2500 0.3357 0.9658
La: 0.2500 0.7889 0.0148
La: 0.7500 0.2111 0.9852

Properties
For the formation energy from the elements, the calculation gives -0.9 eV per formula unit. Its theoretical density is 6.99 g cm⁻³.



[3]
Computed, not measured: an optimized crystal structure of Tb8ErMg2 at the PBE level of DFT.

Lattice parameters (Å, degrees): 5.6531 8.9057 8.9057 121.11 102.52 102.52
Fractional positions:
Tb: 0.8680 0.6793 0.9027
Tb: 0.2965 0.5934 0.5934
Tb: 0.5000 0.7887 0.2113
Tb: 0.1320 0.0973 0.3207
Tb: 0.1320 0.3207 0.0973
Tb: 0.7035 0.4066 0.4066
Tb: 0.5000 0.2113 0.7887
Tb: 0.8680 0.9027 0.6793
Er: 0.5000 0.0000 0.0000
Mg: 0.0000 0.3069 0.6931
Mg: 0.0000 0.6931 0.3069

Properties
For the formation energy from the elements, the calculation gives 1.5 eV per formula unit. Its theoretical density is 7.17 g cm⁻³.